No. 1
Here is a geometry-optimized Sc3FeSe structure from Alexandria via LeMat-Bulk. Energies are from PBE.

Calculated values
**Total moment**: 0.0 Bohr magnetons per cell
**VASP energy**: -31.96 eV for the cell shown
**Energy relative to the lowest polymorph listed for this composition**: 0 meV/atom
**Symmetry**: No. 221
**Volume**: 109.8 Å³/f.u.
**ΔE_f (raw)**: -19.6 kJ/mol of atoms

Unit cell a=4.7888 b=4.7888 c=4.7888 alpha=90.00 beta=90.00 gamma=90.00
Last column: nearest neighbours and their distance in Å.
Sites, in units of the cell vectors:
Se (0.5000, 0.5000, 0.5000)  12 Sc 3.39
Sc (0.0000, 0.5000, 0.0000)  2 Fe 2.39
Sc (0.0000, 0.0000, 0.5000)  2 Fe 2.39
Sc (0.5000, 0.0000, 0.0000)  2 Fe 2.39
Fe (0.0000, 0.0000, 0.0000)  6 Sc 2.39

---

No. 2
Here is a geometry-optimized KZrReH2 structure from Alexandria via LeMat-Bulk. Energies are from PBE.

Calculated values
**Total moment**: 0.4 Bohr magnetons per cell
**VASP energy**: -22.83 eV for the cell shown
**Symmetry**: No. 123
**Volume**: 85.4 Å³/f.u.

Unit cell a=4.1514 b=4.9539 c=4.1514 alpha=90.00 beta=90.00 gamma=90.00
Last column: nearest neighbours and their distance in Å.
Sites, in units of the cell vectors:
H (0.5000, 0.0000, 0.0000)  2 Re 2.08
H (0.0000, 0.0000, 0.5000)  2 Re 2.08
K (0.5000, 0.5000, 0.5000)  4 Zr 2.94, 8 H 3.23
Zr (0.0000, 0.5000, 0.0000)  2 Re 2.48
Re (0.0000, 0.0000, 0.0000)  4 H 2.08

---

No. 3
Here is a geometry-optimized TbEr6In3 structure from Alexandria via LeMat-Bulk. Energies are from PBE.

Calculated values
**Total moment**: 0.0 Bohr magnetons per cell
**VASP energy**: -82.94 eV for the cell shown
**Symmetry**: No. 36
**Volume**: 301.6 Å³/f.u.

Unit cell a=7.6249 b=9.2076 c=9.2076 alpha=111.08 beta=90.00 gamma=90.00
Last column: nearest neighbours and their distance in Å.
Sites, in units of the cell vectors:
Er (0.6051, 0.2344, 0.3003)  4 In 3.12-3.27, 2 Er 3.33-3.37
Er (0.2940, 0.0753, 0.4493)  3 In 3.07-3.19, 1 Er 3.33, 1 Tb 3.35
Er (0.6051, 0.6997, 0.7656)  4 In 3.12-3.27, 2 Er 3.33-3.37
Er (0.1051, 0.7656, 0.6997)  4 In 3.12-3.27, 2 Er 3.33-3.37
Er (0.2947, 0.9528, 0.0472)  1 Tb 3.30, 4 In 3.31-3.43, 6 Er 3.37-3.66
Er (0.6297, 0.3003, 0.6997)  3 In 3.23-3.32, 6 Er 3.46-3.57
Er (0.7947, 0.0472, 0.9528)  1 Tb 3.30, 4 In 3.31-3.43, 6 Er 3.37-3.66
Er (0.2940, 0.5507, 0.9247)  3 In 3.07-3.19, 1 Er 3.33, 1 Tb 3.35
Er (0.1051, 0.3003, 0.2344)  4 In 3.12-3.27, 2 Er 3.33-3.37
Er (0.7940, 0.4493, 0.0753)  3 In 3.07-3.19, 1 Er 3.33, 1 Tb 3.35
Er (0.1297, 0.6997, 0.3003)  3 In 3.23-3.32, 6 Er 3.46-3.57
Er (0.7940, 0.9247, 0.5507)  3 In 3.07-3.19, 1 Er 3.33, 1 Tb 3.35
In (0.8199, 0.5550, 0.4450)  7 Er 3.19-3.27
In (0.4310, 0.2808, 0.0135)  7 Er 3.07-3.43, 1 In 3.07, 1 Tb 3.29
In (0.9310, 0.0135, 0.2808)  7 Er 3.07-3.43, 1 In 3.07, 1 Tb 3.29
In (0.9310, 0.7192, 0.9865)  7 Er 3.07-3.43, 1 In 3.07, 1 Tb 3.29
In (0.4310, 0.9865, 0.7192)  7 Er 3.07-3.43, 1 In 3.07, 1 Tb 3.29
In (0.3199, 0.4450, 0.5550)  7 Er 3.19-3.27
Tb (0.5809, 0.7898, 0.2102)  2 In 3.29, 5 Er 3.30-3.52
Tb (0.0809, 0.2102, 0.7898)  2 In 3.29, 5 Er 3.30-3.52

---

No. 4
Here is a geometry-optimized K2LaSe structure from Alexandria via LeMat-Bulk. Energies are from PBE.

Calculated values
**Total moment**: 1.2 Bohr magnetons per cell
**VASP energy**: -12.79 eV for the cell shown
**Symmetry**: No. 44
**Volume**: 173.3 Å³/f.u.
**ΔE_f (raw)**: -52.6 kJ/mol of atoms

Unit cell a=8.7090 b=8.7090 c=8.7090 alpha=154.05 beta=143.02 gamma=45.73
Last column: nearest neighbours and their distance in Å.
Sites, in units of the cell vectors:
K (0.7409, 0.2409, 0.5000)  4 Se 3.41, 2 K 3.75
K (0.0830, 0.0830, 0.0000)  2 Se 3.56, 4 K 3.75-3.91
Se (0.2688, 0.7688, 0.5000)  2 La 2.96
La (0.4073, 0.4073, 0.0000)  2 Se 2.96

---

No. 5
Here is a geometry-optimized K3Cu2Bi5S10 structure from Alexandria via LeMat-Bulk. Energies are from PBE.

Calculated values
**Total moment**: 0.0 Bohr magnetons per cell
**VASP energy**: -168.36 eV for the cell shown
**Symmetry**: No. 58
**Volume**: 524.5 Å³/f.u.
**ΔE_f (raw)**: -58.0 kJ/mol of atoms

Unit cell a=4.0549 b=14.4079 c=17.9560 alpha=90.00 beta=90.00 gamma=90.00
Last column: nearest neighbours and their distance in Å.
Sites, in units of the cell vectors:
K (0.0000, 0.5250, 0.7447)  6 S 3.26-3.46
K (0.0000, 0.4750, 0.2553)  6 S 3.26-3.46
K (0.5000, 0.0250, 0.7553)  6 S 3.26-3.46
K (0.0000, 0.0000, 0.5000)  6 S 3.17
K (0.5000, 0.5000, 0.0000)  6 S 3.17
K (0.5000, 0.9750, 0.2447)  6 S 3.26-3.46
S (0.0000, 0.3371, 0.0355)  3 Bi 2.70-2.86
S (0.5000, 0.4056, 0.6391)  1 Cu 2.66, 3 Bi 2.82-2.84
S (0.0000, 0.3762, 0.4475)  5 Bi 2.86-3.05
S (0.0000, 0.9056, 0.8609)  1 Cu 2.66, 3 Bi 2.82-2.84
S (0.5000, 0.5944, 0.3609)  1 Cu 2.66, 3 Bi 2.82-2.84
S (0.5000, 0.3822, 0.8510)  1 Cu 2.34
S (0.0000, 0.1178, 0.3510)  1 Cu 2.34
S (0.0000, 0.6238, 0.5525)  5 Bi 2.86-3.05
S (0.5000, 0.1238, 0.9475)  5 Bi 2.86-3.05
S (0.0000, 0.1999, 0.7334)  2 Cu 2.36
S (0.0000, 0.0944, 0.1391)  1 Cu 2.66, 3 Bi 2.82-2.84
S (0.5000, 0.3001, 0.2334)  2 Cu 2.36
S (0.5000, 0.6178, 0.1490)  1 Cu 2.34
S (0.5000, 0.8762, 0.0525)  5 Bi 2.86-3.05
S (0.5000, 0.1629, 0.5355)  3 Bi 2.70-2.86
S (0.5000, 0.6999, 0.7666)  2 Cu 2.36
S (0.0000, 0.6629, 0.9645)  3 Bi 2.70-2.86
S (0.0000, 0.8822, 0.6490)  1 Cu 2.34
S (0.5000, 0.8371, 0.4645)  3 Bi 2.70-2.86
S (0.0000, 0.8001, 0.2666)  2 Cu 2.36
Cu (0.5000, 0.7187, 0.2512)  3 S 2.34-2.36
Cu (0.0000, 0.2187, 0.2488)  3 S 2.34-2.36
Cu (0.5000, 0.2813, 0.7488)  3 S 2.34-2.36
Cu (0.0000, 0.7813, 0.7512)  3 S 2.34-2.36
Bi (0.5000, 0.7685, 0.6043)  3 S 2.70-2.73
Bi (0.5000, 0.2315, 0.3957)  3 S 2.70-2.73
Bi (0.5000, 0.5000, 0.5000)  6 S 2.84-2.86
Bi (0.0000, 0.0000, 0.0000)  6 S 2.84-2.86
Bi (0.5000, 0.7802, 0.9036)  6 S 2.72-3.01
Bi (0.0000, 0.2802, 0.5964)  6 S 2.72-3.01
Bi (0.0000, 0.7315, 0.1043)  3 S 2.70-2.73
Bi (0.0000, 0.7198, 0.4036)  6 S 2.72-3.01
Bi (0.5000, 0.2198, 0.0964)  6 S 2.72-3.01
Bi (0.0000, 0.2685, 0.8957)  3 S 2.70-2.73

---

No. 6
Here is a geometry-optimized LaTmC structure from Alexandria via LeMat-Bulk. Energies are from PBE.

Calculated values
**Total moment**: 0.5 Bohr magnetons per cell
**VASP energy**: -38.51 eV for the cell shown
**Energy relative to the lowest polymorph listed for this composition**: 0 meV/atom
**Symmetry**: No. 59
**Volume**: 74.8 Å³/f.u.

Unit cell a=3.6334 b=4.9914 c=8.2509 alpha=90.00 beta=90.00 gamma=90.00
Last column: nearest neighbours and their distance in Å.
Sites, in units of the cell vectors:
Tm (0.5000, 0.5000, 0.5862)  4 C 2.47-2.51
Tm (0.0000, 0.0000, 0.4138)  4 C 2.47-2.51
La (0.0000, 0.0000, 0.8279)  2 C 2.52
La (0.5000, 0.5000, 0.1721)  2 C 2.52
C (0.5000, 0.0000, 0.6159)  4 Tm 2.47-2.51, 2 La 2.52
C (0.0000, 0.5000, 0.3841)  4 Tm 2.47-2.51, 2 La 2.52

---

No. 7
Here is a geometry-optimized Dy4GePbN structure from Alexandria via LeMat-Bulk. Energies are from PBE.

Calculated values
**Total moment**: 0.0 Bohr magnetons per cell
**VASP energy**: -82.69 eV for the cell shown
**Symmetry**: No. 63
**Volume**: 171.1 Å³/f.u.
**ΔE_f (raw)**: -86.7 kJ/mol of atoms

Unit cell a=6.6000 b=6.6065 c=8.5134 alpha=90.00 beta=112.81 gamma=90.00
Last column: nearest neighbours and their distance in Å.
Sites, in units of the cell vectors:
Dy (0.4077, 0.7500, 0.8153)  1 N 2.49
Dy (0.0821, 0.7500, 0.1641)  1 N 2.62
Dy (0.5000, 0.0000, 0.5000)  2 N 2.33
Dy (0.5000, 0.5000, 0.5000)  2 N 2.33
Dy (0.9179, 0.2500, 0.8359)  1 N 2.62
Dy (0.0000, 0.0000, 0.5000)  2 N 2.33
Dy (0.5923, 0.2500, 0.1847)  1 N 2.49
Dy (0.0000, 0.5000, 0.5000)  2 N 2.33
N (0.7512, 0.2500, 0.5023)  5 Dy 2.33-2.49
N (0.2488, 0.7500, 0.4977)  5 Dy 2.33-2.49
Ge (0.8864, 0.7500, 0.7728)  9 Dy 3.07-3.34
Ge (0.1136, 0.2500, 0.2272)  9 Dy 3.07-3.34
Pb (0.3958, 0.2500, 0.7915)  9 Dy 3.09-3.32
Pb (0.6042, 0.7500, 0.2085)  9 Dy 3.09-3.32

---

No. 8
Here is a geometry-optimized CaCeCdCu structure from Alexandria via LeMat-Bulk. Energies are from PBE.

Calculated values
**Total moment**: 1.1 Bohr magnetons per cell
**VASP energy**: -13.32 eV for the cell shown
**Symmetry**: No. 216
**Volume**: 102.0 Å³/f.u.

Unit cell a=5.2444 b=5.2444 c=5.2444 alpha=60.00 beta=60.00 gamma=60.00
Last column: nearest neighbours and their distance in Å.
Sites, in units of the cell vectors:
Cu (0.2500, 0.2500, 0.2500)  4 Ce 3.21, 4 Ca 3.21
Cd (0.7500, 0.7500, 0.7500)  4 Ce 3.21, 4 Ca 3.21
Ce (0.5000, 0.5000, 0.5000)  4 Cd 3.21, 4 Cu 3.21
Ca (0.0000, 0.0000, 0.0000)  4 Cu 3.21, 4 Cd 3.21

---

No. 9
Here is a geometry-optimized TcPbO2F structure from Alexandria via LeMat-Bulk. Energies are from PBE.

Calculated values
**Total moment**: 4.8 Bohr magnetons per cell
**VASP energy**: -26.45 eV for the cell shown
**Symmetry**: No. 123
**Volume**: 83.6 Å³/f.u.
**ΔE_f (raw)**: -11.3 kJ/mol of atoms

Unit cell a=4.3421 b=4.3421 c=4.4332 alpha=90.00 beta=90.00 gamma=90.00
Last column: nearest neighbours and their distance in Å.
Sites, in units of the cell vectors:
Pb (0.0000, 0.0000, 0.0000)  4 O 2.17, 2 F 2.22
F (0.0000, 0.0000, 0.5000)  2 Pb 2.22
O (0.0000, 0.5000, 0.0000)  2 Pb 2.17
O (0.5000, 0.0000, 0.0000)  2 Pb 2.17
Tc (0.5000, 0.5000, 0.5000)  4 F 3.07, 8 O 3.10

---

No. 10
Here is a geometry-optimized U2TlCo2S6 structure from Alexandria via LeMat-Bulk. Energies are from PBE.

Calculated values
**Total moment**: 1.0 Bohr magnetons per cell
**VASP energy**: -72.78 eV for the cell shown
**Symmetry**: No. 2
**Volume**: 265.6 Å³/f.u.
**ΔE_f (raw)**: -77.7 kJ/mol of atoms

Unit cell a=6.9765 b=7.0248 c=7.6074 alpha=121.92 beta=90.44 gamma=62.24
Last column: nearest neighbours and their distance in Å.
Sites, in units of the cell vectors:
Co (0.8351, 0.1906, 0.1450)  3 S 2.19-2.22, 1 Co 2.33
Co (0.1649, 0.8094, 0.8550)  3 S 2.19-2.22, 1 Co 2.33
U (0.8332, 0.3263, 0.8270)  6 S 2.64-2.69
U (0.1668, 0.6737, 0.1730)  6 S 2.64-2.69
S (0.8110, 0.1852, 0.4296)  1 Co 2.19
S (0.5785, 0.2155, 0.9703)  1 Co 2.22
S (0.4215, 0.7845, 0.0297)  1 Co 2.22
S (0.1890, 0.8148, 0.5704)  1 Co 2.19
S (0.0341, 0.5659, 0.8235)  1 Co 2.20
S (0.9659, 0.4341, 0.1765)  1 Co 2.20
Tl (0.5000, 0.0000, 0.5000)  6 S 3.17-3.23

---

No. 11
Here is a geometry-optimized SrCaZrGe2 structure from Alexandria via LeMat-Bulk. Energies are from PBE.

Calculated values
**Total moment**: 1.5 Bohr magnetons per cell
**VASP energy**: -16.24 eV for the cell shown
**Symmetry**: No. 123
**Volume**: 166.3 Å³/f.u.

Unit cell a=5.5994 b=5.3030 c=5.5994 alpha=90.00 beta=90.00 gamma=90.00
Last column: nearest neighbours and their distance in Å.
Sites, in units of the cell vectors:
Sr (0.0000, 0.0000, 0.0000)  2 Zr 2.65, 4 Ge 2.80
Ge (0.5000, 0.0000, 0.0000)  2 Sr 2.80
Ge (0.0000, 0.0000, 0.5000)  2 Sr 2.80
Ca (0.5000, 0.5000, 0.5000)  8 Ge 3.86, 4 Zr 3.96
Zr (0.0000, 0.5000, 0.0000)  2 Sr 2.65

---

VASP energy of number 6 (LaTmC)?
-38.51 eV for the cell shown

---

Among the records above, which one has the lowest volume?
LaTmC